(1)
{"formula": "Sr2Tl3CdO8", "functional": "GGA-PBE", "state": "optimized geometry", "lattice": [[3.474, 2.006, 5.762], [-3.474, 2.006, 5.762], [0.000, -4.012, 5.762]], "species": ["Sr", "Sr", "Tl", "Tl", "Tl", "Cd", "O", "O", "O", "O", "O", "O", "O", "O"], "fractional_positions": [[0.000, 0.000, 0.000], [0.383, 0.383, 0.383], [0.002, 0.002, 0.498], [0.002, 0.498, 0.002], [0.498, 0.002, 0.002], [0.616, 0.616, 0.616], [0.220, 0.748, 0.748], [0.241, 0.241, 0.241], [0.247, 0.247, 0.798], [0.247, 0.798, 0.247], [0.748, 0.220, 0.748], [0.748, 0.748, 0.220], [0.756, 0.756, 0.756], [0.798, 0.247, 0.247]], "dft_energy_ev_per_atom": -4.89, "volume_a3_per_atom": 17.2, "magmom_total_mub_per_atom": 0.083}

(2)
{"formula": "Sr4TlCd3O8", "functional": "GGA-PBE", "state": "optimized geometry", "lattice": [[3.610, 2.084, 5.648], [-3.610, 2.084, 5.648], [0.000, -4.169, 5.648]], "species": ["Sr", "Sr", "Sr", "Sr", "Tl", "Cd", "Cd", "Cd", "O", "O", "O", "O", "O", "O", "O", "O"], "fractional_positions": [[0.000, 0.000, 0.000], [0.000, 0.500, 0.500], [0.500, 0.000, 0.500], [0.500, 0.500, 0.000], [0.500, 0.500, 0.500], [0.000, 0.000, 0.500], [0.000, 0.500, 0.000], [0.500, 0.000, 0.000], [0.240, 0.752, 0.752], [0.247, 0.247, 0.247], [0.248, 0.248, 0.760], [0.248, 0.760, 0.248], [0.752, 0.240, 0.752], [0.752, 0.752, 0.240], [0.753, 0.753, 0.753], [0.760, 0.248, 0.248]], "dft_energy_ev_per_atom": -5.01, "volume_a3_per_atom": 15.9, "magmom_total_mub_per_atom": 0.000}

(3)
{"formula": "SrTlCd2O", "functional": "GGA-PBE", "state": "optimized geometry", "lattice": [[6.576, 0.000, 0.000], [0.000, 6.576, 0.000], [0.000, 0.000, 4.451]], "species": ["Sr", "Tl", "Cd", "Cd", "O"], "fractional_positions": [[0.000, 0.000, 0.000], [0.500, 0.500, 0.500], [0.000, 0.500, 0.000], [0.500, 0.000, 0.000], [0.000, 0.000, 0.500]], "dft_energy_ev_per_atom": -2.39, "volume_a3_per_atom": 38.5, "magmom_total_mub_per_atom": 0.000}

(4)
{"formula": "SrU2CdO8", "functional": "GGA-PBE", "state": "optimized geometry", "lattice": [[-2.751, 2.751, 5.332], [2.751, -2.751, 5.332], [2.751, 2.751, -5.332]], "species": ["Sr", "U", "U", "Cd", "O", "O", "O", "O", "O", "O", "O", "O"], "fractional_positions": [[0.000, 0.000, 0.000], [0.500, 0.500, 0.000], [0.750, 0.250, 0.500], [0.250, 0.750, 0.500], [0.090, 0.143, 0.512], [0.166, 0.608, 0.002], [0.392, 0.394, 0.558], [0.423, 0.910, 0.054], [0.606, 0.164, 0.998], [0.631, 0.577, 0.488], [0.836, 0.834, 0.442], [0.857, 0.369, 0.946]], "dft_energy_ev_per_atom": -8.10, "volume_a3_per_atom": 13.4, "magmom_total_mub_per_atom": 0.000}